{
  "formula": "La3WO6",
  "functional": "PBE+U",
  "state": "relaxed",
  "space_group": "Cmc2_1",
  "dft_energy_ev_per_atom": -8.079,
  "cell": [[4.739, -5.959, 0.000], [4.739, 5.959, 0.000], [0.000, 0.000, 5.950]],
  "species": ["La", "La", "La", "La", "La", "La", "W", "W", "O", "O", "O", "O", "O", "O", "O", "O", "O", "O", "O", "O"],
  "frac_coords": [[0.102, 0.898, 0.500], [0.195, 0.407, 0.461], [0.407, 0.195, 0.961], [0.593, 0.805, 0.461], [0.805, 0.593, 0.961], [0.898, 0.102, 0.000], [0.305, 0.695, 0.938], [0.695, 0.305, 0.438], [0.084, 0.610, 0.718], [0.144, 0.172, 0.726], [0.172, 0.144, 0.226], [0.289, 0.711, 0.259], [0.390, 0.916, 0.718], [0.447, 0.553, 0.722], [0.553, 0.447, 0.222], [0.610, 0.084, 0.218], [0.711, 0.289, 0.759], [0.828, 0.856, 0.726], [0.856, 0.828, 0.226], [0.916, 0.390, 0.218]]
}